Arrangement one

MgBePb2 | GGA-PBEsol | optimized geometry

V   90 Å³/cell
Total magnetic moment   0.000 μB/atom
SG   Fm-3m, No. 225

```
data_MgBePb2
_chemical_formula_sum 'Mg1 Be1 Pb2'
_cell_length_a 5.031
_cell_length_b 5.031
_cell_length_c 5.031
_cell_angle_alpha 60.00
_cell_angle_beta 60.00
_cell_angle_gamma 60.00
_space_group_name_H-M_alt 'P 1'
_space_group_IT_number 1
loop_
_space_group_symop_operation_xyz
'x,y,z'
loop_
_atom_site_label
_atom_site_type_symbol
_atom_site_fract_x
_atom_site_fract_y
_atom_site_fract_z
Mg1 Mg 0.500 0.500 0.500
Pb1 Pb 0.750 0.750 0.750
Pb2 Pb 0.250 0.250 0.250
Be1 Be 0.000 0.000 0.000
```

Arrangement two

MgBePb2 | GGA-PBEsol | optimized geometry

V   90 Å³/cell
Total magnetic moment   0.000 μB/atom
SG   P4/mmm, No. 123

```
data_MgBePb2
_chemical_formula_sum 'Mg1 Be1 Pb2'
_cell_length_a 3.360
_cell_length_b 3.360
_cell_length_c 8.002
_cell_angle_alpha 90.00
_cell_angle_beta 90.00
_cell_angle_gamma 90.00
_space_group_name_H-M_alt 'P 1'
_space_group_IT_number 1
loop_
_space_group_symop_operation_xyz
'x,y,z'
loop_
_atom_site_label
_atom_site_type_symbol
_atom_site_fract_x
_atom_site_fract_y
_atom_site_fract_z
Mg1 Mg 0.500 0.500 0.500
Pb1 Pb 0.000 0.000 0.215
Pb2 Pb 0.000 0.000 0.785
Be1 Be 0.500 0.500 0.000
```

The most stable arrangement is arrangement two, and the next structure is 5.2 kJ/mol of atoms less stable.

Arrangement one

Mg2BeSb | GGA-PBEsol | optimized geometry

V   167 Å³/cell
Total magnetic moment   0.000 μB/atom
SG   I-42d, No. 122

```
data_Mg2BeSb
_chemical_formula_sum 'Mg4 Be2 Sb2'
_cell_length_a 4.188
_cell_length_b 4.188
_cell_length_c 9.980
_cell_angle_alpha 102.11
_cell_angle_beta 102.11
_cell_angle_gamma 90.00
_space_group_name_H-M_alt 'P 1'
_space_group_IT_number 1
loop_
_space_group_symop_operation_xyz
'x,y,z'
loop_
_atom_site_label
_atom_site_type_symbol
_atom_site_fract_x
_atom_site_fract_y
_atom_site_fract_z
Mg1 Mg 0.625 0.602 0.750
Mg2 Mg 0.398 0.875 0.250
Sb1 Sb 0.250 0.750 0.500
Be1 Be 0.500 0.500 0.000
Mg3 Mg 0.125 0.148 0.750
Mg4 Mg 0.852 0.375 0.250
Sb2 Sb 0.000 0.000 0.000
Be2 Be 0.750 0.250 0.500
```

Arrangement two

Mg2BeSb | GGA-PBEsol | optimized geometry

V   81 Å³/cell
Total magnetic moment   0.000 μB/atom
SG   Amm2, No. 38

```
data_Mg2BeSb
_chemical_formula_sum 'Mg2 Be1 Sb1'
_cell_length_a 3.903
_cell_length_b 4.119
_cell_length_c 5.456
_cell_angle_alpha 112.17
_cell_angle_beta 90.00
_cell_angle_gamma 90.00
_space_group_name_H-M_alt 'P 1'
_space_group_IT_number 1
loop_
_space_group_symop_operation_xyz
'x,y,z'
loop_
_atom_site_label
_atom_site_type_symbol
_atom_site_fract_x
_atom_site_fract_y
_atom_site_fract_z
Mg1 Mg 0.000 0.103 0.206
Sb1 Sb 0.000 0.815 0.630
Be1 Be 0.500 0.669 0.338
Mg2 Mg 0.500 0.412 0.825
```

The most stable arrangement is arrangement two, and the next structure is 27.4 kJ/mol of atoms less stable.

Arrangement one

MgBe2Sb | GGA-PBEsol | optimized geometry

V   66 Å³/cell
Total magnetic moment   0.000 μB/atom
SG   P4/mmm, No. 123

```
data_MgBe2Sb
_chemical_formula_sum 'Mg1 Be2 Sb1'
_cell_length_a 3.482
_cell_length_b 3.482
_cell_length_c 5.465
_cell_angle_alpha 90.00
_cell_angle_beta 90.00
_cell_angle_gamma 90.00
_space_group_name_H-M_alt 'P 1'
_space_group_IT_number 1
loop_
_space_group_symop_operation_xyz
'x,y,z'
loop_
_atom_site_label
_atom_site_type_symbol
_atom_site_fract_x
_atom_site_fract_y
_atom_site_fract_z
Be1 Be 0.000 0.000 0.285
Mg1 Mg 0.500 0.500 0.000
Sb1 Sb 0.500 0.500 0.500
Be2 Be 0.000 0.000 0.715
```

Arrangement two

MgBe2Sb | GGA-PBEsol | optimized geometry

V   146 Å³/cell
Total magnetic moment   0.000 μB/atom
SG   I-42d, No. 122

```
data_MgBe2Sb
_chemical_formula_sum 'Mg2 Be4 Sb2'
_cell_length_a 5.437
_cell_length_b 5.858
_cell_length_c 5.858
_cell_angle_alpha 77.57
_cell_angle_beta 62.35
_cell_angle_gamma 62.35
_space_group_name_H-M_alt 'P 1'
_space_group_IT_number 1
loop_
_space_group_symop_operation_xyz
'x,y,z'
loop_
_atom_site_label
_atom_site_type_symbol
_atom_site_fract_x
_atom_site_fract_y
_atom_site_fract_z
Mg1 Mg 0.500 0.000 0.000
Be1 Be 0.670 0.955 0.455
Be2 Be 0.080 0.045 0.545
Sb1 Sb 0.000 0.000 0.000
Mg2 Mg 0.250 0.500 0.500
Sb2 Sb 0.750 0.500 0.500
Be3 Be 0.875 0.455 0.045
Be4 Be 0.375 0.545 0.955
```

The most stable arrangement is arrangement one, and the next structure is 11.4 kJ/mol of atoms less stable.

Arrangement one

MgBe2Se | GGA-PBEsol | optimized geometry

V   62 Å³/cell
Total magnetic moment   0.000 μB/atom
SG   Pm, No. 6

```
data_MgBe2Se
_chemical_formula_sum 'Mg1 Be2 Se1'
_cell_length_a 3.369
_cell_length_b 3.369
_cell_length_c 5.463
_cell_angle_alpha 90.00
_cell_angle_beta 89.73
_cell_angle_gamma 90.00
_space_group_name_H-M_alt 'P 1'
_space_group_IT_number 1
loop_
_space_group_symop_operation_xyz
'x,y,z'
loop_
_atom_site_label
_atom_site_type_symbol
_atom_site_fract_x
_atom_site_fract_y
_atom_site_fract_z
Se1 Se 0.127 0.500 0.817
Mg1 Mg 0.622 0.000 0.473
Be1 Be 0.625 0.500 0.105
Be2 Be 0.126 0.000 0.105
```

Arrangement two

MgBe2Se | GGA-PBEsol | optimized geometry

V   61 Å³/cell
Total magnetic moment   0.000 μB/atom
SG   Cmmm, No. 65

```
data_MgBe2Se
_chemical_formula_sum 'Mg1 Be2 Se1'
_cell_length_a 3.413
_cell_length_b 4.395
_cell_length_c 4.395
_cell_angle_alpha 112.18
_cell_angle_beta 90.00
_cell_angle_gamma 90.00
_space_group_name_H-M_alt 'P 1'
_space_group_IT_number 1
loop_
_space_group_symop_operation_xyz
'x,y,z'
loop_
_atom_site_label
_atom_site_type_symbol
_atom_site_fract_x
_atom_site_fract_y
_atom_site_fract_z
Se1 Se 0.500 0.500 0.500
Mg1 Mg 0.500 0.000 0.000
Be1 Be 0.000 0.500 0.000
Be2 Be 0.000 0.000 0.500
```

The most stable arrangement is arrangement one, and the next structure is 23.5 kJ/mol of atoms less stable.

Arrangement one

Mg2BeSe | GGA-PBEsol | optimized geometry

V   73 Å³/cell
Total magnetic moment   0.000 μB/atom
SG   Fm-3m, No. 225

```
data_Mg2BeSe
_chemical_formula_sum 'Mg2 Be1 Se1'
_cell_length_a 4.692
_cell_length_b 4.692
_cell_length_c 4.692
_cell_angle_alpha 60.00
_cell_angle_beta 60.00
_cell_angle_gamma 60.00
_space_group_name_H-M_alt 'P 1'
_space_group_IT_number 1
loop_
_space_group_symop_operation_xyz
'x,y,z'
loop_
_atom_site_label
_atom_site_type_symbol
_atom_site_fract_x
_atom_site_fract_y
_atom_site_fract_z
Be1 Be 0.000 0.000 0.000
Mg1 Mg 0.250 0.250 0.250
Mg2 Mg 0.750 0.750 0.750
Se1 Se 0.500 0.500 0.500
```

Arrangement two

Mg2BeSe | GGA-PBEsol | optimized geometry

V   71 Å³/cell
Total magnetic moment   0.000 μB/atom
SG   P4/mmm, No. 123

```
data_Mg2BeSe
_chemical_formula_sum 'Mg2 Be1 Se1'
_cell_length_a 3.479
_cell_length_b 4.516
_cell_length_c 4.524
_cell_angle_alpha 90.00
_cell_angle_beta 90.00
_cell_angle_gamma 90.00
_space_group_name_H-M_alt 'P 1'
_space_group_IT_number 1
loop_
_space_group_symop_operation_xyz
'x,y,z'
loop_
_atom_site_label
_atom_site_type_symbol
_atom_site_fract_x
_atom_site_fract_y
_atom_site_fract_z
Mg1 Mg 0.000 0.000 0.000
Mg2 Mg 0.000 0.500 0.500
Be1 Be 0.500 0.000 0.500
Se1 Se 0.500 0.500 0.000
```

The most stable arrangement is arrangement two, and the next structure is 14.5 kJ/mol of atoms less stable.

Arrangement one

Mg2BeSi | GGA-PBEsol | optimized geometry

V   63 Å³/cell
Total magnetic moment   0.000 μB/atom
SG   P4/mmm, No. 123

```
data_Mg2BeSi
_chemical_formula_sum 'Mg2 Be1 Si1'
_cell_length_a 3.900
_cell_length_b 4.011
_cell_length_c 4.011
_cell_angle_alpha 90.00
_cell_angle_beta 90.00
_cell_angle_gamma 90.00
_space_group_name_H-M_alt 'P 1'
_space_group_IT_number 1
loop_
_space_group_symop_operation_xyz
'x,y,z'
loop_
_atom_site_label
_atom_site_type_symbol
_atom_site_fract_x
_atom_site_fract_y
_atom_site_fract_z
Mg1 Mg 0.000 0.000 0.500
Si1 Si 0.500 0.500 0.500
Be1 Be 0.500 0.000 0.000
Mg2 Mg 0.000 0.500 0.000
```

Arrangement two

Mg2BeSi | GGA-PBEsol | optimized geometry

V   66 Å³/cell
Total magnetic moment   0.000 μB/atom
SG   C2/m, No. 12

```
data_Mg2BeSi
_chemical_formula_sum 'Mg2 Be1 Si1'
_cell_length_a 2.989
_cell_length_b 4.665
_cell_length_c 5.085
_cell_angle_alpha 100.88
_cell_angle_beta 90.00
_cell_angle_gamma 108.68
_space_group_name_H-M_alt 'P 1'
_space_group_IT_number 1
loop_
_space_group_symop_operation_xyz
'x,y,z'
loop_
_atom_site_label
_atom_site_type_symbol
_atom_site_fract_x
_atom_site_fract_y
_atom_site_fract_z
Si1 Si 0.000 0.000 0.500
Mg1 Mg 0.754 0.508 0.760
Be1 Be 0.500 0.000 0.000
Mg2 Mg 0.246 0.492 0.240
```

Arrangement three

Mg2BeSi | GGA-PBEsol | optimized geometry

V   66 Å³/cell
Total magnetic moment   0.000 μB/atom
SG   R-3m, No. 166

```
data_Mg2BeSi
_chemical_formula_sum 'Mg2 Be1 Si1'
_cell_length_a 2.983
_cell_length_b 2.983
_cell_length_c 8.713
_cell_angle_alpha 80.14
_cell_angle_beta 80.14
_cell_angle_gamma 60.00
_space_group_name_H-M_alt 'P 1'
_space_group_IT_number 1
loop_
_space_group_symop_operation_xyz
'x,y,z'
loop_
_atom_site_label
_atom_site_type_symbol
_atom_site_fract_x
_atom_site_fract_y
_atom_site_fract_z
Si1 Si 0.500 0.500 0.500
Be1 Be 0.000 0.000 0.000
Mg1 Mg 0.253 0.253 0.240
Mg2 Mg 0.747 0.747 0.760
```

The most stable arrangement is arrangement one, and the next structure is 12.5 kJ/mol of atoms less stable.

Arrangement one

Mg2BeTc | GGA-PBEsol | optimized geometry

V   60 Å³/cell
Total magnetic moment   0.000 μB/atom
SG   Cmmm, No. 65

```
data_Mg2BeTc
_chemical_formula_sum 'Mg2 Be1 Tc1'
_cell_length_a 2.675
_cell_length_b 4.980
_cell_length_c 4.980
_cell_angle_alpha 115.98
_cell_angle_beta 90.00
_cell_angle_gamma 90.00
_space_group_name_H-M_alt 'P 1'
_space_group_IT_number 1
loop_
_space_group_symop_operation_xyz
'x,y,z'
loop_
_atom_site_label
_atom_site_type_symbol
_atom_site_fract_x
_atom_site_fract_y
_atom_site_fract_z
Tc1 Tc 0.500 0.000 0.000
Be1 Be 0.500 0.500 0.500
Mg1 Mg 0.000 0.000 0.500
Mg2 Mg 0.000 0.500 0.000
```

Arrangement two

Mg2BeTc | GGA-PBEsol | optimized geometry

V   62 Å³/cell
Total magnetic moment   0.000 μB/atom
SG   Cmm2, No. 35

```
data_Mg2BeTc
_chemical_formula_sum 'Mg2 Be1 Tc1'
_cell_length_a 2.741
_cell_length_b 2.741
_cell_length_c 8.483
_cell_angle_alpha 90.00
_cell_angle_beta 90.00
_cell_angle_gamma 104.93
_space_group_name_H-M_alt 'P 1'
_space_group_IT_number 1
loop_
_space_group_symop_operation_xyz
'x,y,z'
loop_
_atom_site_label
_atom_site_type_symbol
_atom_site_fract_x
_atom_site_fract_y
_atom_site_fract_z
Tc1 Tc 0.000 0.000 0.465
Mg1 Mg 0.000 0.000 0.038
Be1 Be 0.500 0.500 0.277
Mg2 Mg 0.500 0.500 0.721
```

The most stable arrangement is arrangement two, and the next structure is 8.5 kJ/mol of atoms less stable.